Entry 1:
DFT (PBE-GGA) results for a relaxed HoZn2Pd4 crystal.

Calculated values
Calculated formation energy ... -640 meV per atom

Cell: 5.380 6.097 7.135 Å, 90.00 90.00 90.00°
Space group Immm (No. 71)
Inequivalent atoms, fractional coordinates:
Ho  0.000  0.000  0.000 x2
Zn  0.235  0.500  0.000 x4
Pd  0.000  0.282  0.303 x8

Entry 2:
DFT (PBE-GGA) results for a relaxed RbPtBr crystal.

Calculated values
E above lowest polymorph ... 0.1034 eV/atom
Energy relative to the elements, uncorrected ... -162 kJ/mol of formula units

Cell: 3.800 6.547 8.710 Å, 81.23 89.02 73.45°
Space group P1 (No. 1)
Inequivalent atoms, fractional coordinates:
Rb  0.000  0.000  0.000 x1
Rb  0.264  0.465  0.592 x1
Pt  0.538  0.880  0.682 x1
Pt  0.975  0.034  0.490 x1
Br  0.416  0.152  0.304 x1
Br  0.737  0.572  0.922 x1

Entry 3:
DFT (PBE-GGA) results for a relaxed HgP crystal.

Calculated values
Calculated formation energy ... 662 meV per atom
E above lowest polymorph ... 0.6332 eV/atom

Cell: 3.789 5.697 3.904 Å, 90.00 90.00 90.00°
Space group Cmmm (No. 65)
Inequivalent atoms, fractional coordinates:
Hg  0.000  0.000  0.000 x2
P  0.000  0.500  0.500 x2

Entry 4:
DFT (PBE-GGA) results for a relaxed NdIn3Ag3 crystal.

Calculated values
Calculated formation energy ... 315 meV per atom

Cell: 7.498 7.498 7.498 Å, 90.00 90.00 90.00°
Space group Pm-3n (No. 223)
Inequivalent atoms, fractional coordinates:
Nd  0.000  0.000  0.000 x2
In  0.000  0.250  0.500 x6
Ag  0.000  0.500  0.250 x6

Number 1: energy -4.626 eV per atom. Number 2: energy -3.452 eV per atom. Number 3: energy -2.193 eV per atom. Number 4: energy -2.762 eV per atom.